A relaxed structure of LiZr3, computed with PBE.

Results
calculated volume	21.09	Å³/atom
energy relative to the lowest polymorph listed for this composition	137	meV per atom
formation energy from the elements	0.25	eV per atom
mass density	5.5	Mg/m³

Lattice parameters (Å, degrees): 6.9615 6.9615 6.9615 90.00 90.00 90.00
With the nearest neighbours (Å) after each atom.
Space group Fm-3m (No. 225)
Inequivalent atoms, fractional coordinates:
Li1 0.0000 0.0000 0.0000  8 Zr 3.01
Zr1 0.0000 0.0000 0.5000  8 Zr 3.01
Zr2 0.2500 0.2500 0.2500  4 Zr 3.01, 4 Li 3.01